Record 1
A geometry-optimized CoP2Ir structure. Source: Alexandria, functional GGA-PBEsol.

a b c (Å): 2.8257 4.1698 4.1698
angles (deg): 94.51 90.00 90.00
Each line ends with the local moment (μB).
Element x y z (fractional)
Co 0.5000 0.0000 0.0000  0.72
P 0.0000 0.5000 0.0000  0.01
P 0.0000 0.0000 0.5000  0.01
Ir 0.5000 0.5000 0.5000  0.12

Results
E_form, eV/atom: 0.001
ΔE to the lowest computed polymorph, meV per atom: 263
Calculated volume, Å³ per cell: 49.0
Crystal system: orthorhombic
Calculated total energy, eV per atom: -7.285


Record 2
A geometry-optimized CoPIr structure. Source: Alexandria, functional GGA-PBEsol.

a b c (Å): 3.7742 3.7742 3.7742
angles (deg): 60.00 60.00 60.00
Element x y z (fractional)
Ir 0.5000 0.5000 0.5000
P 0.2500 0.2500 0.2500
Co 0.0000 0.0000 0.0000

Results
E_form, eV/atom: -0.534
Calculated volume, Å³ per cell: 38.0
Crystal system: cubic
Calculated total energy, eV per atom: -8.318


Record 3
A geometry-optimized CoP3Ir structure. Source: Alexandria, functional GGA-PBEsol.

a b c (Å): 4.1901 4.1901 4.1901
angles (deg): 90.00 90.00 90.00
Element x y z (fractional)
P 0.0000 0.5000 0.0000
P 0.0000 0.0000 0.5000
P 0.5000 0.0000 0.0000
Ir 0.5000 0.5000 0.5000
Co 0.0000 0.0000 0.0000

Results
E_form, eV/atom: 0.652
Calculated volume, Å³ per cell: 73.6
Crystal system: cubic
Calculated total energy, eV per atom: -6.335


Record 4
A geometry-optimized CoPIr structure. Source: Alexandria, functional GGA-PBEsol.

a b c (Å): 2.7860 2.7860 4.9502
angles (deg): 106.34 106.34 90.00
Each line ends with the local moment (μB).
Element x y z (fractional)
P 0.3459 0.3459 0.6918  -0.01
Co 0.9709 0.9709 0.9418  0.24
Ir 0.6832 0.6832 0.3664  0.02

Results
E_form, eV/atom: -0.178
Calculated volume, Å³ per cell: 35.3
Crystal system: tetragonal
Calculated total energy, eV per atom: -7.962


Record 5
A geometry-optimized CoPIr2Pd structure. Source: Alexandria, functional GGA-PBEsol.

a b c (Å): 3.9555 4.4916 4.4916
angles (deg): 90.00 90.00 90.00
Each line ends with the local moment (μB).
Element x y z (fractional)
Co 0.0000 0.0000 0.0000  1.02
Ir 0.0000 0.5000 0.0000  0.64
Ir 0.0000 0.0000 0.5000  0.64
P 0.5000 0.0000 0.0000  0.01
Pd 0.5000 0.5000 0.5000  0.05

Results
E_form, eV/atom: 1.175
Calculated volume, Å³ per cell: 79.8
Crystal system: tetragonal
Calculated total energy, eV per atom: -6.651


Record 6
A geometry-optimized Y2CoPIr structure. Source: Alexandria, functional GGA-PBEsol.

a b c (Å): 3.9281 5.1506 5.1506
angles (deg): 90.00 90.00 90.00
Each line ends with the local moment (μB).
Element x y z (fractional)
Ir 0.5000 0.5000 0.5000  0.26
P 0.0000 0.0000 0.0000  0.02
Y 0.0000 0.5000 0.0000  -0.04
Y 0.0000 0.0000 0.5000  -0.04
Co 0.5000 0.0000 0.0000  0.70

Results
E_form, eV/atom: -0.230
Calculated volume, Å³ per cell: 104.2
Crystal system: tetragonal
Calculated total energy, eV per atom: -7.629


Record 7
A geometry-optimized CoIrPb2 structure. Source: Alexandria, functional GGA-PBEsol.

a b c (Å): 3.3150 3.3150 6.5591
angles (deg): 90.00 90.00 90.00
Each line ends with the local moment (μB).
Element x y z (fractional)
Co 0.5000 0.5000 0.0000  1.23
Pb 0.0000 0.0000 0.7570  0.01
Pb 0.0000 0.0000 0.2430  0.01
Ir 0.5000 0.5000 0.5000  0.35

Results
E_form, eV/atom: 0.584
ΔE to the lowest computed polymorph, meV per atom: 251
Calculated volume, Å³ per cell: 72.1
Crystal system: tetragonal
Calculated total energy, eV per atom: -5.805


Record 8
A geometry-optimized CoIrPb2 structure. Source: Alexandria, functional GGA-PBEsol.

a b c (Å): 3.0557 3.2698 8.0426
angles (deg): 90.00 90.00 90.00
Each line ends with the local moment (μB).
Element x y z (fractional)
Pb 0.0000 0.0000 0.9347  -0.01
Pb 0.5000 0.5000 0.3227  -0.04
Co 0.0000 0.0000 0.5471  1.58
Ir 0.5000 0.5000 0.6955  0.58

Results
E_form, eV/atom: 0.333
ΔE to the lowest computed polymorph, meV per atom: 0
Calculated volume, Å³ per cell: 80.4
Crystal system: orthorhombic
Calculated total energy, eV per atom: -6.056


Record 9
A geometry-optimized CoIr2Pb structure. Source: Alexandria, functional GGA-PBEsol.

a b c (Å): 2.8356 4.6757 5.4388
angles (deg): 115.31 104.89 90.50
Each line ends with the local moment (μB).
Element x y z (fractional)
Ir 0.5000 0.5000 0.5000  0.14
Ir 0.0000 0.0000 0.5000  0.14
Pb 0.5000 0.0000 0.0000  -0.02
Co 0.0000 0.5000 0.0000  1.41

Results
E_form, eV/atom: 0.624
Calculated volume, Å³ per cell: 62.4
Crystal system: monoclinic
Calculated total energy, eV per atom: -7.222


Record 10
A geometry-optimized CoIr2Pb structure. Source: Alexandria, functional GGA-PBEsol.

a b c (Å): 2.8811 2.8811 7.5422
angles (deg): 90.00 90.00 90.00
Each line ends with the local moment (μB).
Element x y z (fractional)
Co 0.5000 0.5000 0.7850  1.15
Pb 0.0000 0.0000 0.5134  -0.01
Ir 0.5000 0.5000 0.2164  -0.18
Ir 0.0000 0.0000 0.9852  0.14

Results
E_form, eV/atom: 0.501
Calculated volume, Å³ per cell: 62.6
Crystal system: tetragonal
Calculated total energy, eV per atom: -7.345


Record 11
A geometry-optimized CoIrPb2 structure. Source: Alexandria, functional GGA-PBEsol.

a b c (Å): 3.4114 4.6002 4.6002
angles (deg): 89.95 90.05 90.05
Each line ends with the local moment (μB).
Element x y z (fractional)
Pb 0.0000 0.0000 0.5000  0.00
Pb 0.0000 0.5000 0.0000  0.00
Co 0.5000 0.5000 0.5000  1.23
Ir 0.5000 0.0000 0.0000  0.22

Results
E_form, eV/atom: 0.590
ΔE to the lowest computed polymorph, meV per atom: 257
Calculated volume, Å³ per cell: 72.2
Crystal system: tetragonal
Calculated total energy, eV per atom: -5.799


Record 12
A geometry-optimized CoIrPb2 structure. Source: Alexandria, functional GGA-PBEsol.

a b c (Å): 3.2134 4.4598 5.6669
angles (deg): 102.64 90.00 111.12
Each line ends with the local moment (μB).
Element x y z (fractional)
Ir 0.5000 0.0000 0.0000  0.01
Co 0.0000 0.0000 0.5000  0.67
Pb 0.2557 0.5114 0.2591  -0.01
Pb 0.7443 0.4886 0.7409  -0.01

Results
E_form, eV/atom: 0.628
ΔE to the lowest computed polymorph, meV per atom: 295
Calculated volume, Å³ per cell: 73.6
Crystal system: monoclinic
Calculated total energy, eV per atom: -5.761


Record 13
A geometry-optimized Co2IrPt structure. Source: Alexandria, functional GGA-PBEsol.

a b c (Å): 2.6467 2.6467 8.5346
angles (deg): 81.08 81.08 60.00
Each line ends with the local moment (μB).
Element x y z (fractional)
Ir 0.5000 0.5000 0.5000  0.26
Co 0.7513 0.7513 0.7461  1.68
Co 0.2487 0.2487 0.2539  1.68
Pt 0.0000 0.0000 0.0000  0.21

Results
E_form, eV/atom: 0.031
ΔE to the lowest computed polymorph, meV per atom: 25
Calculated volume, Å³ per cell: 50.9
Crystal system: trigonal
Calculated total energy, eV per atom: -8.035


Record 14
A geometry-optimized Co2IrPt structure. Source: Alexandria, functional GGA-PBEsol.

a b c (Å): 3.5675 3.7403 3.7403
angles (deg): 90.00 90.00 90.00
Each line ends with the local moment (μB).
Element x y z (fractional)
Ir 0.5000 0.5000 0.5000  0.36
Co 0.0000 0.5000 0.0000  1.35
Co 0.0000 0.0000 0.5000  1.35
Pt 0.5000 0.0000 0.0000  0.22

Results
E_form, eV/atom: 0.025
ΔE to the lowest computed polymorph, meV per atom: 20
Calculated volume, Å³ per cell: 49.9
Crystal system: tetragonal
Calculated total energy, eV per atom: -8.040


Record 15
A geometry-optimized Co2IrPt structure. Source: Alexandria, functional GGA-PBEsol.

a b c (Å): 3.7380 3.7380 4.4299
angles (deg): 114.96 114.96 90.00
Each line ends with the local moment (μB).
Element x y z (fractional)
Co 0.7500 0.2500 0.5000  1.19
Co 0.2500 0.7500 0.5000  1.19
Pt 0.5000 0.5000 0.0000  0.18
Ir 0.0000 0.0000 0.0000  0.26

Results
E_form, eV/atom: 0.026
ΔE to the lowest computed polymorph, meV per atom: 21
Calculated volume, Å³ per cell: 49.7
Crystal system: tetragonal
Calculated total energy, eV per atom: -8.039